Entry 1:
Computed, not measured: a geometry-optimized Mg14CdSn structure at the PBE level of DFT.

* M_tot: 0.00 μB per formula unit
* relative energy among the computed polymorphs: 0.00 eV/f.u.
* volume: 362.3 Å³/cell

Cell lengths 6.4140, 6.4140, 10.1699 Å; angles 90.00, 90.00, 120.00 degrees
Space group P-6m2 (No. 187)
Inequivalent atoms, fractional coordinates:
Mg  0.0000  0.0000  0.2469 [2 per cell]
Mg  0.3313  0.1656  0.5000 [3 per cell]
Mg  0.3324  0.1662  0.0000 [3 per cell]
Mg  0.5011  0.0022  0.2502 [6 per cell]
Cd  0.3333  0.6667  0.5000 [1 per cell]
Sn  0.3333  0.6667  0.0000 [1 per cell]

---

Entry 2:
Computed, not measured: a geometry-optimized TaMn2Nb structure at the PBE level of DFT.

* M_tot: 0.00 μB per formula unit
* relative energy among the computed polymorphs: 0.00 eV/f.u.
* volume: 230.5 Å³/cell

Cell lengths 6.132, 6.132, 6.132 Å; angles 90.00, 90.00, 90.00 degrees
Space group Fm-3m (No. 225)
Inequivalent atoms, fractional coordinates:
Ta  0.000  0.000  0.000 [4 per cell]
Mn  0.250  0.250  0.250 [8 per cell]
Nb  0.000  0.000  0.500 [4 per cell]

---

Entry 3:
Computed, not measured: a geometry-optimized NaGaF4 structure at the PBE level of DFT.

* M_tot: 0.00 μB per formula unit
* relative energy among the computed polymorphs: 0.06 eV/f.u.
* volume: 315.8 Å³/cell
* raw formation energy: -2.692 eV/atom

Cell lengths 5.279, 5.279, 11.328 Å; angles 90.00, 90.00, 90.00 degrees
Space group I4_1/a (No. 88, origin choice 2)
Inequivalent atoms, fractional coordinates:
Na  0.000  0.250  0.125 [4 per cell]
Ga  0.000  0.250  0.625 [4 per cell]
F  0.169  0.012  0.710 [16 per cell]

---

Entry 4:
Computed, not measured: a geometry-optimized V4Cr2Mo structure at the PBE level of DFT.

* M_tot: 0.00 μB per formula unit
* relative energy among the computed polymorphs: 0.00 eV/f.u.
* volume: 192.3 Å³/cell

Cell lengths 4.855, 6.479, 6.536 Å; angles 83.55, 71.10, 82.35 degrees
Space group P1 (No. 1)
Inequivalent atoms, fractional coordinates:
V  0.000  0.000  0.000 [1 per cell]
V  0.002  0.572  0.192 [1 per cell]
V  0.158  0.175  0.590 [1 per cell]
V  0.379  0.187  0.139 [1 per cell]
V  0.406  0.504  0.405 [1 per cell]
V  0.544  0.722  0.016 [1 per cell]
V  0.619  0.030  0.767 [1 per cell]
V  0.792  0.553  0.646 [1 per cell]
Cr  0.167  0.732  0.785 [1 per cell]
Cr  0.342  0.391  0.802 [1 per cell]
Cr  0.770  0.235  0.371 [1 per cell]
Cr  0.821  0.356  0.983 [1 per cell]
Mo  0.082  0.871  0.395 [1 per cell]
Mo  0.581  0.873  0.397 [1 per cell]

---

Entry 5:
Computed, not measured: a geometry-optimized CeIr3 structure at the PBE level of DFT.

* M_tot: 0.00 μB per formula unit
* volume: 434.6 Å³/cell
* calculated total energy: -209.77 eV per cell

Cell lengths 5.3305, 5.3305, 17.6603 Å; angles 90.00, 90.00, 120.00 degrees
Space group P6_3/mmc (No. 194)
Inequivalent atoms, fractional coordinates:
Ce  0.3333  0.6667  0.0423 [4 per cell]
Ce  0.3333  0.6667  0.2500 [2 per cell]
Ir  0.0000  0.0000  0.0000 [2 per cell]
Ir  0.0000  0.0000  0.2500 [2 per cell]
Ir  0.1675  0.3349  0.6262 [12 per cell]
Ir  0.3333  0.6667  0.7500 [2 per cell]

---

Entry 6:
Computed, not measured: a geometry-optimized TiBPb2 structure at the PBE level of DFT.

* M_tot: 0.00 μB per formula unit
* volume: 373.6 Å³/cell
* calculated total energy: -77.60 eV per cell

Cell lengths 9.178, 9.178, 4.436 Å; angles 90.00, 90.00, 90.00 degrees
Space group I-42d (No. 122)
Inequivalent atoms, fractional coordinates:
Ti  0.000  0.000  0.000 [4 per cell]
B  0.000  0.000  0.500 [4 per cell]
Pb  0.109  0.750  0.625 [8 per cell]

---

Entry 7:
Computed, not measured: a geometry-optimized BeHRu2 structure at the PBE level of DFT.

* M_tot: 0.00 μB per formula unit
* relative energy among the computed polymorphs: 0.29 eV/f.u.
* volume: 158.3 Å³/cell

Cell lengths 5.465, 5.465, 5.298 Å; angles 90.00, 90.00, 90.00 degrees
Space group I-42d (No. 122)
Inequivalent atoms, fractional coordinates:
Be  0.000  0.000  0.000 [4 per cell]
H  0.000  0.000  0.500 [4 per cell]
Ru  0.194  0.250  0.625 [8 per cell]

---

Entry 8:
Computed, not measured: a geometry-optimized Co2IrCl structure at the PBE level of DFT.

* M_tot: 5.20 μB per formula unit
* relative energy among the computed polymorphs: 2.42 eV/f.u.
* volume: 221.0 Å³/cell
* raw formation energy: 0.867 eV/atom

Cell lengths 6.046, 6.046, 6.046 Å; angles 90.00, 90.00, 90.00 degrees
Space group F-43m (No. 216)
Inequivalent atoms, fractional coordinates:
Co  0.000  0.000  0.000 [4 per cell]
Co  0.250  0.250  0.250 [4 per cell]
Ir  0.250  0.250  0.750 [4 per cell]
Cl  0.000  0.000  0.500 [4 per cell]

---

Entry 9:
Computed, not measured: a geometry-optimized BaSbTe2C structure at the PBE level of DFT.

* M_tot: 0.00 μB per formula unit
* relative energy among the computed polymorphs: 0.00 eV/f.u.
* volume: 141.1 Å³/cell
* raw formation energy: 0.280 eV/atom

Cell lengths 5.594, 5.594, 4.508 Å; angles 90.00, 90.00, 90.00 degrees
Space group P4/mmm (No. 123)
Inequivalent atoms, fractional coordinates:
Ba  0.000  0.000  0.000 [1 per cell]
Sb  0.500  0.500  0.000 [1 per cell]
Te  0.000  0.500  0.500 [2 per cell]
C  0.500  0.500  0.500 [1 per cell]

---

Entry 10:
Computed, not measured: a geometry-optimized TePdN2 structure at the PBE level of DFT.

* M_tot: 0.00 μB per formula unit
* relative energy among the computed polymorphs: 0.86 eV/f.u.
* volume: 249.3 Å³/cell
* raw formation energy: 1.146 eV/atom

Cell lengths 4.830, 4.830, 10.688 Å; angles 90.00, 90.00, 90.00 degrees
Space group I-42d (No. 122)
Inequivalent atoms, fractional coordinates:
Te  0.000  0.000  0.000 [4 per cell]
Pd  0.000  0.000  0.500 [4 per cell]
N  0.248  0.250  0.125 [8 per cell]

---

Entry 11:
Computed, not measured: a geometry-optimized BaSm5 structure at the PBE level of DFT.

* M_tot: 0.00 μB per formula unit
* volume: 440.3 Å³/cell
* calculated total energy: -49.40 eV per cell

Cell lengths 5.258, 15.859, 5.280 Å; angles 90.00, 90.00, 90.00 degrees
Space group Cmmm (No. 65)
Inequivalent atoms, fractional coordinates:
Ba  0.000  0.000  0.000 [2 per cell]
Sm  0.000  0.173  0.500 [4 per cell]
Sm  0.000  0.326  0.000 [4 per cell]
Sm  0.000  0.500  0.500 [2 per cell]

---

Entry 12:
Computed, not measured: a geometry-optimized Pm2Sm2Y4Sc structure at the PBE level of DFT.

* M_tot: 0.00 μB per formula unit
* volume: 580.7 Å³/cell
* calculated total energy: -101.92 eV per cell

Cell lengths 18.671, 3.603, 9.570 Å; angles 90.00, 115.58, 90.00 degrees
Space group C2/m (No. 12)
Inequivalent atoms, fractional coordinates:
Pm  0.163  0.000  0.499 [4 per cell]
Sm  0.148  0.500  0.165 [4 per cell]
Y  0.019  0.000  0.828 [4 per cell]
Y  0.184  0.500  0.833 [4 per cell]
Sc  0.000  0.500  0.500 [2 per cell]